# Nb4TlCu3O12 (PBE-GGA, optimized geometry)
data_Nb4TlCu3O12
_cell_length_a 7.7692
_cell_length_b 7.7692
_cell_length_c 7.7692
_cell_angle_alpha 90.00
_cell_angle_beta 90.00
_cell_angle_gamma 90.00
_symmetry_space_group_name_H-M 'I m -3'
_symmetry_Int_Tables_number 204
_symmetry_space_group_name_Hall '-I 2 2 3'
loop_
_atom_site_label
_atom_site_type_symbol
_atom_site_fract_x
_atom_site_fract_y
_atom_site_fract_z
Nb1 Nb 0.2500 0.2500 0.2500
Tl1 Tl 0.0000 0.0000 0.0000
Cu1 Cu 0.0000 0.0000 0.5000
O1 O 0.0000 0.1884 0.3071
# theoretical density = 6789 kg/m3
# raw formation energy = -1.810 eV/atom
# spin magnetization = 0.002 μB per formula unit